(1)
Density functional theory data (PBE) for crystalline CeNiSe2 at its relaxed geometry.

Cell lengths 4.259, 4.259, 5.217 Å; angles 107.03, 107.03, 75.76 degrees
Element x y z (fractional)
Ce (0.000, 0.000, 0.000)
Ni (0.703, 0.297, 0.500)
Se (0.276, 0.322, 0.717)
Se (0.678, 0.724, 0.283)

Values from the calculation:
symmetry = No. 5
D(E_F) = 4.16 states/eV/f.u.
size of the total moment = 0.3 μB/cell
energy relative to the elements, uncorrected = -1100 meV/atom

(2)
Density functional theory data (PBE) for crystalline CeNiSe2 at its relaxed geometry.

Cell lengths 4.141, 5.794, 5.794 Å; angles 40.49, 90.00, 90.00 degrees
Element x y z (fractional)
Ce (0.000, 0.000, 0.000)
Ni (0.000, 0.694, 0.694)
Se (0.000, 0.307, 0.307)
Se (0.500, 0.582, 0.582)

Values from the calculation:
symmetry = No. 38
D(E_F) = 2.77 states/eV/f.u.
size of the total moment = 0.2 μB/cell
energy relative to the elements, uncorrected = -1118 meV/atom

(3)
Density functional theory data (PBE) for crystalline Ce2UNiSe5 at its relaxed geometry.

Cell lengths 8.867, 8.867, 12.404 Å; angles 90.00, 90.00, 154.12 degrees
Element x y z (fractional)
Ce (0.107, 0.893, 0.500)
Ce (0.120, 0.880, 0.849)
Ce (0.880, 0.120, 0.349)
Ce (0.893, 0.107, 0.000)
U (0.178, 0.822, 0.173)
U (0.822, 0.178, 0.673)
Ni (0.440, 0.560, 0.571)
Ni (0.560, 0.440, 0.071)
Se (0.018, 0.982, 0.165)
Se (0.308, 0.692, 0.840)
Se (0.310, 0.690, 0.509)
Se (0.344, 0.656, 0.171)
Se (0.499, 0.501, 0.900)
Se (0.501, 0.499, 0.400)
Se (0.656, 0.344, 0.671)
Se (0.690, 0.310, 0.009)
Se (0.692, 0.308, 0.340)
Se (0.982, 0.018, 0.665)

Values from the calculation:
symmetry = No. 36
D(E_F) = 18.36 states/eV/f.u.
size of the total moment = 7.7 μB/cell
energy relative to the elements, uncorrected = -1382 meV/atom

(4)
Density functional theory data (PBE) for crystalline Ce3Si4Ni2 at its relaxed geometry.

Cell lengths 5.802, 5.802, 8.204 Å; angles 110.62, 110.62, 40.90 degrees
Element x y z (fractional)
Ce (0.000, 0.000, 0.000)
Ce (0.394, 0.394, 0.331)
Ce (0.606, 0.606, 0.669)
Si (0.130, 0.130, 0.406)
Si (0.274, 0.274, 0.935)
Si (0.726, 0.726, 0.065)
Si (0.870, 0.870, 0.594)
Ni (0.320, 0.320, 0.684)
Ni (0.680, 0.680, 0.316)

Values from the calculation:
relative energy among the computed polymorphs = 34 meV per atom
symmetry = No. 12
D(E_F) = 11.82 states/eV/f.u.
size of the total moment = 1.0 μB/cell
energy relative to the elements, uncorrected = -745 meV/atom

(5)
Density functional theory data (PBE) for crystalline CeSi2Ni3 at its relaxed geometry.

Cell lengths 7.575, 7.575, 7.002 Å; angles 113.86, 113.86, 29.15 degrees
Element x y z (fractional)
Ce (0.155, 0.155, 0.070)
Ce (0.845, 0.845, 0.930)
Si (0.184, 0.184, 0.661)
Si (0.478, 0.478, 0.817)
Si (0.522, 0.522, 0.183)
Si (0.816, 0.816, 0.339)
Ni (0.036, 0.036, 0.366)
Ni (0.316, 0.316, 0.558)
Ni (0.409, 0.409, 0.333)
Ni (0.591, 0.591, 0.667)
Ni (0.684, 0.684, 0.442)
Ni (0.964, 0.964, 0.634)

Values from the calculation:
symmetry = No. 12
D(E_F) = 5.52 states/eV/f.u.
size of the total moment = 0.0 μB/cell
energy relative to the elements, uncorrected = -673 meV/atom

(6)
Density functional theory data (PBE) for crystalline Ce2Si3Ni5 at its relaxed geometry.

Cell lengths 12.329, 12.329, 6.482 Å; angles 90.00, 90.00, 161.52 degrees
Element x y z (fractional)
Ce (0.019, 0.981, 0.500)
Ce (0.325, 0.675, 0.501)
Ce (0.675, 0.325, 0.001)
Ce (0.981, 0.019, 0.000)
Si (0.117, 0.883, 0.263)
Si (0.277, 0.723, 0.054)
Si (0.438, 0.562, 0.284)
Si (0.562, 0.438, 0.784)
Si (0.723, 0.277, 0.554)
Si (0.883, 0.117, 0.763)
Ni (0.089, 0.911, 0.925)
Ni (0.207, 0.793, 0.359)
Ni (0.230, 0.770, 0.744)
Ni (0.373, 0.627, 0.978)
Ni (0.440, 0.560, 0.671)
Ni (0.560, 0.440, 0.171)
Ni (0.627, 0.373, 0.478)
Ni (0.770, 0.230, 0.244)
Ni (0.793, 0.207, 0.859)
Ni (0.911, 0.089, 0.425)

Values from the calculation:
relative energy among the computed polymorphs = 111 meV per atom
symmetry = No. 36
D(E_F) = 9.10 states/eV/f.u.
size of the total moment = 0.0 μB/cell
energy relative to the elements, uncorrected = -560 meV/atom

(7)
Density functional theory data (PBE) for crystalline Ce2Si3Ni at its relaxed geometry.

Cell lengths 4.042, 4.118, 6.952 Å; angles 90.00, 90.00, 90.00 degrees
Element x y z (fractional)
Ce (0.000, 0.000, 0.000)
Ce (0.500, 0.000, 0.498)
Si (0.000, 0.500, 0.323)
Si (0.000, 0.500, 0.663)
Si (0.500, 0.500, 0.843)
Ni (0.500, 0.500, 0.169)

Values from the calculation:
relative energy among the computed polymorphs = 21 meV per atom
symmetry = No. 25
D(E_F) = 8.04 states/eV/f.u.
size of the total moment = 1.0 μB/cell
energy relative to the elements, uncorrected = -767 meV/atom

(8)
Density functional theory data (PBE) for crystalline Ce3Si6Ni20 at its relaxed geometry.

Cell lengths 8.110, 8.110, 8.110 Å; angles 60.00, 60.00, 60.00 degrees
Element x y z (fractional)
Ce (0.000, 0.000, 0.000)
Ce (0.250, 0.250, 0.250)
Ce (0.750, 0.750, 0.750)
Si (0.268, 0.268, 0.732)
Si (0.268, 0.732, 0.268)
Si (0.268, 0.732, 0.732)
Si (0.732, 0.268, 0.268)
Si (0.732, 0.268, 0.732)
Si (0.732, 0.732, 0.268)
Ni (0.000, 0.000, 0.353)
Ni (0.000, 0.000, 0.647)
Ni (0.000, 0.353, 0.000)
Ni (0.000, 0.353, 0.647)
Ni (0.000, 0.647, 0.000)
Ni (0.000, 0.647, 0.353)
Ni (0.152, 0.616, 0.616)
Ni (0.353, 0.000, 0.000)
Ni (0.353, 0.000, 0.647)
Ni (0.353, 0.647, 0.000)
Ni (0.384, 0.384, 0.384)
Ni (0.384, 0.384, 0.848)
Ni (0.384, 0.848, 0.384)
Ni (0.616, 0.152, 0.616)
Ni (0.616, 0.616, 0.152)
Ni (0.616, 0.616, 0.616)
Ni (0.647, 0.000, 0.000)
Ni (0.647, 0.000, 0.353)
Ni (0.647, 0.353, 0.000)
Ni (0.848, 0.384, 0.384)

Values from the calculation:
symmetry = No. 225
D(E_F) = 10.96 states/eV/f.u.
size of the total moment = 0.0 μB/cell
energy relative to the elements, uncorrected = -483 meV/atom

(9)
Density functional theory data (PBE) for crystalline Ce2Si3Ni2 at its relaxed geometry.

Cell lengths 5.308, 5.308, 6.384 Å; angles 109.91, 109.91, 44.96 degrees
Element x y z (fractional)
Ce (0.156, 0.156, 0.294)
Ce (0.844, 0.844, 0.706)
Si (0.396, 0.396, 0.064)
Si (0.500, 0.500, 0.500)
Si (0.604, 0.604, 0.936)
Ni (0.144, 0.144, 0.780)
Ni (0.856, 0.856, 0.220)

Values from the calculation:
relative energy among the computed polymorphs = 102 meV per atom
symmetry = No. 12
D(E_F) = 7.29 states/eV/f.u.
size of the total moment = 0.0 μB/cell
energy relative to the elements, uncorrected = -624 meV/atom

(10)
Density functional theory data (PBE) for crystalline Ce2SiNi4 at its relaxed geometry.

Cell lengths 9.821, 9.821, 2.863 Å; angles 90.00, 90.00, 156.73 degrees
Element x y z (fractional)
Ce (0.199, 0.801, 0.000)
Ce (0.801, 0.199, 0.000)
Si (0.500, 0.500, 0.500)
Ni (0.067, 0.933, 0.500)
Ni (0.406, 0.594, 0.000)
Ni (0.594, 0.406, 0.000)
Ni (0.933, 0.067, 0.500)

Values from the calculation:
symmetry = No. 65
D(E_F) = 6.70 states/eV/f.u.
size of the total moment = 0.0 μB/cell
energy relative to the elements, uncorrected = -153 meV/atom

(11)
Density functional theory data (PBE) for crystalline Ce4Si3Ni at its relaxed geometry.

Cell lengths 3.947, 4.246, 10.761 Å; angles 90.00, 90.00, 90.00 degrees
Element x y z (fractional)
Ce (0.000, 0.000, 0.000)
Ce (0.000, 0.500, 0.487)
Ce (0.500, 0.000, 0.704)
Ce (0.500, 0.500, 0.207)
Si (0.000, 0.500, 0.781)
Si (0.500, 0.000, 0.411)
Si (0.500, 0.500, 0.920)
Ni (0.000, 0.000, 0.287)

Values from the calculation:
symmetry = No. 25
D(E_F) = 18.67 states/eV/f.u.
size of the total moment = 3.6 μB/cell
energy relative to the elements, uncorrected = -571 meV/atom

(12)
Density functional theory data (PBE) for crystalline Ce3Si2Ni9 at its relaxed geometry.

Cell lengths 7.689, 7.689, 7.689 Å; angles 150.63, 106.94, 80.63 degrees
Element x y z (fractional)
Ce (0.000, 0.000, 0.000)
Ce (0.306, 0.306, 0.000)
Ce (0.694, 0.694, 0.000)
Si (0.273, 0.500, 0.773)
Si (0.727, 0.500, 0.227)
Ni (0.033, 0.678, 0.356)
Ni (0.169, 0.888, 0.281)
Ni (0.322, 0.678, 0.644)
Ni (0.393, 0.112, 0.281)
Ni (0.500, 0.000, 0.500)
Ni (0.607, 0.888, 0.719)
Ni (0.678, 0.322, 0.356)
Ni (0.831, 0.112, 0.719)
Ni (0.967, 0.322, 0.644)

Values from the calculation:
symmetry = No. 71
D(E_F) = 17.12 states/eV/f.u.
size of the total moment = 0.0 μB/cell
energy relative to the elements, uncorrected = -435 meV/atom